TbCePuPa GGA-PBE relaxed; calculated total energy = -8.289 eV per atom; energy relative to the elements = 0.31 eV/atom; space-group type = F-43m
1.0
-2.6456 1.5977 -4.3907
1.8865 -1.2411 -4.8714
-2.5765 -3.5986 -3.0400
Pu Tb Ce Pa
1 1 1 1
Cartesian
-2.5018 -2.4315 -9.2266 Pu
0.0000 0.0000 0.0000 Tb
-0.8339 -0.8105 -3.0755 Ce
-1.6678 -1.6210 -6.1511 Pa